No. 1
Sc2Mo: optimized geometry, PBE.

Unit cell a=12.874 b=12.874 c=12.874 alpha=165.53 beta=165.53 gamma=20.51
Positions (direct):
Mo 0.000 0.000 0.000
Mo 0.750 0.250 0.500
Sc 0.185 0.685 0.500
Sc 0.435 0.435 0.000
Sc 0.315 0.815 0.500
Sc 0.565 0.565 0.000

## Properties
ΔE_f in eV/atom: 0.232
Polymorph energy (0 for the lowest one) in eV/atom: 0.218
Symmetry: No. 141
Energy in eV/atom: -7.5994
Density of states at the Fermi level in states/eV/cell: 8.43
Total moment in Bohr magnetons per cell: 0.0


No. 2
CeHo2TmSe6: optimized geometry, PBE.

Unit cell a=7.245 b=7.245 c=7.717 alpha=62.00 beta=62.00 gamma=60.00
Site moments in Bohr magnetons follow the coordinates.
Positions (direct):
Tm 0.319 0.319 0.043  0.00
Se 0.918 0.608 0.247  -0.01
Se 0.608 0.227 0.247  -0.01
Se 0.396 0.723 0.751  -0.01
Se 0.130 0.396 0.751  -0.01
Se 0.227 0.918 0.247  -0.01
Se 0.723 0.130 0.751  -0.01
Ce 0.813 0.813 0.560  0.96
Ho 0.516 0.516 0.453  0.01
Ho 0.012 0.012 0.965  0.01

## Properties
Symmetry: No. 146
Energy in eV/atom: -5.8604
Density of states at the Fermi level in states/eV/cell: 5.04
Total moment in Bohr magnetons per cell: 1.0
Formation energy from raw total energies in eV/atom: -1.81


No. 3
USi4Ir2: optimized geometry, PBE.

Unit cell a=4.171 b=6.488 c=16.451 alpha=90.00 beta=90.00 gamma=90.00
Site moments in Bohr magnetons follow the coordinates.
Positions (direct):
Ir 0.250 0.982 0.788  -0.03
Ir 0.750 0.249 0.968  -0.02
Ir 0.250 0.518 0.288  -0.03
Ir 0.750 0.482 0.712  -0.03
Ir 0.750 0.251 0.468  -0.02
Ir 0.250 0.751 0.032  -0.02
Ir 0.250 0.749 0.532  -0.02
Ir 0.750 0.018 0.212  -0.03
Si 0.250 0.812 0.183  0.00
Si 0.750 0.312 0.317  0.00
Si 0.750 0.188 0.817  0.00
Si 0.250 0.364 0.033  0.00
Si 0.750 0.780 0.806  0.01
Si 0.750 0.864 0.467  0.00
Si 0.250 0.280 0.694  0.01
Si 0.250 0.035 0.936  -0.01
Si 0.750 0.720 0.306  0.01
Si 0.750 0.965 0.064  -0.01
Si 0.750 0.535 0.564  -0.01
Si 0.250 0.220 0.194  0.01
Si 0.250 0.465 0.436  -0.01
Si 0.250 0.688 0.683  0.00
Si 0.250 0.136 0.533  0.00
Si 0.750 0.636 0.967  0.00
U 0.250 0.503 0.858  1.97
U 0.250 0.997 0.358  1.97
U 0.750 0.497 0.142  1.97
U 0.750 0.003 0.642  1.97

## Properties
Symmetry: No. 62
Energy in eV/atom: -7.8424
Density of states at the Fermi level in states/eV/cell: 30.66
Total moment in Bohr magnetons per cell: 8.5
Formation energy from raw total energies in eV/atom: -0.60


No. 4
Al2GeRu: optimized geometry, PBE.

Unit cell a=3.243 b=3.243 c=5.591 alpha=90.00 beta=90.00 gamma=90.00
Positions (direct):
Ru 0.500 0.500 0.500
Ge 0.500 0.500 0.000
Al 0.000 0.000 0.259
Al 0.000 0.000 0.741

## Properties
ΔE_f in eV/atom: -0.289
Symmetry: No. 123
Energy in eV/atom: -5.6339
Density of states at the Fermi level in states/eV/cell: 1.79
Total moment in Bohr magnetons per cell: 0.0


No. 5
Pa2TlBi: optimized geometry, PBE.

Unit cell a=4.556 b=4.887 c=4.887 alpha=90.00 beta=90.00 gamma=90.00
Site moments in Bohr magnetons follow the coordinates.
Positions (direct):
Pa 0.000 0.000 0.500  0.91
Pa 0.000 0.500 0.000  0.91
Tl 0.500 0.000 0.000  -0.01
Bi 0.500 0.500 0.500  -0.03

## Properties
ΔE_f in eV/atom: 0.139
Polymorph energy (0 for the lowest one) in eV/atom: 0.000
Symmetry: No. 123
Energy in eV/atom: -6.1707
Density of states at the Fermi level in states/eV/cell: 9.25
Total moment in Bohr magnetons per cell: 2.1


No. 6
KSrBeO2: optimized geometry, PBE.

Unit cell a=5.740 b=7.526 c=7.473 alpha=119.53 beta=90.00 gamma=90.00
Positions (direct):
O 0.233 0.917 0.459
O 0.767 0.083 0.541
O 0.767 0.917 0.959
O 0.233 0.083 0.041
Be 0.000 0.000 0.500
Be 0.000 0.000 0.000
Sr 0.500 0.000 0.750
Sr 0.500 0.000 0.250
K 0.186 0.500 0.250
K 0.814 0.500 0.750

## Properties
Symmetry: No. 13
Energy in eV/atom: -5.2392
Density of states at the Fermi level in states/eV/cell: 1.84
Total moment in Bohr magnetons per cell: 0.0
Formation energy from raw total energies in eV/atom: -1.95


No. 7
BaMgNi2: optimized geometry, PBE.

Unit cell a=3.423 b=3.433 c=7.746 alpha=63.73 beta=90.00 gamma=90.00
Positions (direct):
Ba 0.500 0.250 0.250
Ni 0.000 0.424 0.576
Ni 0.000 0.076 0.924
Mg 0.500 0.750 0.750

## Properties
ΔE_f in eV/atom: 0.162
Symmetry: No. 123
Energy in eV/atom: -3.6082
Density of states at the Fermi level in states/eV/cell: 3.78
Total moment in Bohr magnetons per cell: 0.0


Q: Among the records above, which one has the highest total moment?
A: USi4Ir2


Q: Which value of energy does entry 6 give?
A: -5.2392 eV/atom